Record 1
# NbAg2P2S8 | OQMD via LeMat-Bulk | GGA-PBE | relaxed
data_NbAg2P2S8
_symmetry_space_group_name_H-M 'P 1'
_symmetry_Int_Tables_number 1
_cell_length_a 12.385
_cell_length_b 26.744
_cell_length_c 6.860
_cell_angle_alpha 90.00
_cell_angle_beta 90.00
_cell_angle_gamma 90.00
loop_
_symmetry_equiv_pos_as_xyz
'x,y,z'
loop_
_atom_site_label
_atom_site_type_symbol
_atom_site_fract_x
_atom_site_fract_y
_atom_site_fract_z
S1 S 0.970 0.038 0.215
Ag1 Ag 0.921 0.945 0.484
S2 S 0.795 0.250 0.263
Ag2 Ag 0.344 0.541 0.521
S3 S 0.022 0.623 0.278
Nb1 Nb 0.867 0.304 0.532
Ag3 Ag 0.656 0.459 0.479
Nb2 Nb 0.633 0.696 0.032
S4 S 0.508 0.836 0.751
S5 S 0.468 0.750 0.056
Nb3 Nb 0.133 0.696 0.468
S6 S 0.201 0.250 0.997
S7 S 0.242 0.621 0.648
S8 S 0.561 0.750 0.298
P1 P 0.893 0.106 0.192
P2 P 0.893 0.394 0.192
S9 S 0.061 0.750 0.202
S10 S 0.242 0.879 0.648
Ag4 Ag 0.421 0.555 0.016
S11 S 0.240 0.960 0.175
P3 P 0.160 0.607 0.127
S12 S 0.258 0.379 0.148
S13 S 0.742 0.879 0.852
S14 S 0.299 0.750 0.497
S15 S 0.030 0.962 0.785
Ag5 Ag 0.079 0.055 0.516
S16 S 0.760 0.040 0.825
Ag6 Ag 0.844 0.541 0.979
Ag7 Ag 0.921 0.555 0.484
P4 P 0.393 0.394 0.308
S17 S 0.008 0.836 0.749
S18 S 0.260 0.460 0.675
Ag8 Ag 0.421 0.945 0.016
S19 S 0.742 0.334 0.819
S20 S 0.242 0.334 0.681
Ag9 Ag 0.579 0.445 0.984
Ag10 Ag 0.079 0.445 0.516
S21 S 0.758 0.379 0.352
S22 S 0.030 0.538 0.785
P5 P 0.160 0.893 0.127
S23 S 0.742 0.166 0.819
P6 P 0.393 0.106 0.308
P7 P 0.607 0.894 0.692
P8 P 0.107 0.606 0.808
S24 S 0.478 0.377 0.778
Nb4 Nb 0.367 0.196 0.968
P9 P 0.660 0.893 0.373
P10 P 0.107 0.894 0.808
S25 S 0.205 0.750 0.737
S26 S 0.439 0.250 0.702
S27 S 0.758 0.666 0.319
S28 S 0.992 0.164 0.251
Ag11 Ag 0.656 0.041 0.479
S29 S 0.530 0.538 0.715
S30 S 0.978 0.377 0.722
Nb5 Nb 0.367 0.304 0.968
S31 S 0.760 0.460 0.825
S32 S 0.508 0.664 0.751
S33 S 0.522 0.623 0.222
S34 S 0.258 0.666 0.181
P11 P 0.840 0.107 0.873
P12 P 0.607 0.606 0.692
S35 S 0.799 0.750 0.003
S36 S 0.705 0.750 0.763
P13 P 0.840 0.393 0.873
Ag12 Ag 0.844 0.959 0.979
Nb6 Nb 0.633 0.804 0.032
S37 S 0.978 0.123 0.722
S38 S 0.740 0.540 0.325
S39 S 0.532 0.250 0.944
S40 S 0.492 0.164 0.249
S41 S 0.240 0.540 0.175
S42 S 0.022 0.877 0.278
S43 S 0.258 0.834 0.181
S44 S 0.492 0.336 0.249
S45 S 0.295 0.250 0.237
S46 S 0.470 0.462 0.285
S47 S 0.522 0.877 0.222
S48 S 0.530 0.962 0.715
S49 S 0.758 0.121 0.352
S50 S 0.701 0.250 0.503
S51 S 0.470 0.038 0.285
S52 S 0.740 0.960 0.325
S53 S 0.939 0.250 0.798
S54 S 0.008 0.664 0.749
S55 S 0.968 0.750 0.444
S56 S 0.992 0.336 0.251
Ag13 Ag 0.156 0.459 0.021
Nb7 Nb 0.133 0.804 0.468
P14 P 0.660 0.607 0.373
Ag14 Ag 0.156 0.041 0.021
S57 S 0.742 0.621 0.852
Ag15 Ag 0.579 0.055 0.984
Nb8 Nb 0.867 0.196 0.532
P15 P 0.340 0.107 0.627
S58 S 0.258 0.121 0.148
S59 S 0.478 0.123 0.778
P16 P 0.340 0.393 0.627
S60 S 0.260 0.040 0.675
S61 S 0.758 0.834 0.319
S62 S 0.970 0.462 0.215
S63 S 0.032 0.250 0.556
S64 S 0.242 0.166 0.681
Ag16 Ag 0.344 0.959 0.521
# Volume (Å³/f.u.): 284
# Space-group type: Pnma, No. 62
# VASP energy (eV per cell): -515.76

***

Record 2
# AcPrZr | OQMD via LeMat-Bulk | GGA-PBE | relaxed
data_AcPrZr
_symmetry_space_group_name_H-M 'P 1'
_symmetry_Int_Tables_number 1
_cell_length_a 5.405
_cell_length_b 5.405
_cell_length_c 5.405
_cell_angle_alpha 60.00
_cell_angle_beta 60.00
_cell_angle_gamma 60.00
loop_
_symmetry_equiv_pos_as_xyz
'x,y,z'
loop_
_atom_site_label
_atom_site_type_symbol
_atom_site_fract_x
_atom_site_fract_y
_atom_site_fract_z
Ac1 Ac 0.250 0.250 0.250
Pr1 Pr 0.000 0.000 0.000
Zr1 Zr 0.750 0.750 0.750
# Volume (Å³/f.u.): 112
# Space-group type: F-43m, No. 216
# VASP energy (eV per cell): -14.66
# Formation energy (eV per atom): 0.92
# Relative energy among the computed polymorphs (kJ/mol of formula units): 0

***

Record 3
# NiTe2Se5 | OQMD via LeMat-Bulk | GGA-PBE | relaxed
data_NiTe2Se5
_symmetry_space_group_name_H-M 'P 1'
_symmetry_Int_Tables_number 1
_cell_length_a 6.500
_cell_length_b 6.500
_cell_length_c 18.211
_cell_angle_alpha 90.07
_cell_angle_beta 90.07
_cell_angle_gamma 144.85
loop_
_symmetry_equiv_pos_as_xyz
'x,y,z'
loop_
_atom_site_label
_atom_site_type_symbol
_atom_site_fract_x
_atom_site_fract_y
_atom_site_fract_z
Ni1 Ni 0.701 0.299 0.250
Te1 Te 0.217 0.778 0.407
Se1 Se 0.870 0.127 0.458
Se2 Se 0.578 0.416 0.353
Se3 Se 0.127 0.870 0.958
Se4 Se 0.584 0.422 0.147
Se5 Se 0.873 0.130 0.042
Se6 Se 0.422 0.584 0.647
Se7 Se 0.130 0.873 0.542
Ni2 Ni 0.299 0.701 0.750
Se8 Se 0.416 0.578 0.853
Te2 Te 0.783 0.222 0.593
Se9 Se 0.306 0.694 0.250
Te3 Te 0.222 0.783 0.093
Te4 Te 0.778 0.217 0.907
Se10 Se 0.694 0.306 0.750
# Volume (Å³/f.u.): 222
# Space-group type: C2/c, No. 15
# VASP energy (eV per cell): -57.96

***

Record 4
# Y2LuSn7 | OQMD via LeMat-Bulk | GGA-PBE | relaxed
data_Y2LuSn7
_symmetry_space_group_name_H-M 'P 1'
_symmetry_Int_Tables_number 1
_cell_length_a 13.357
_cell_length_b 13.357
_cell_length_c 4.467
_cell_angle_alpha 90.00
_cell_angle_beta 90.00
_cell_angle_gamma 161.06
loop_
_symmetry_equiv_pos_as_xyz
'x,y,z'
loop_
_atom_site_label
_atom_site_type_symbol
_atom_site_fract_x
_atom_site_fract_y
_atom_site_fract_z
Sn1 Sn 0.596 0.404 0.000
Sn2 Sn 0.500 0.500 0.500
Sn3 Sn 0.211 0.789 0.000
Y1 Y 0.689 0.311 0.500
Lu1 Lu 0.000 0.000 0.000
Sn4 Sn 0.904 0.096 0.500
Sn5 Sn 0.789 0.211 0.000
Sn6 Sn 0.096 0.904 0.500
Sn7 Sn 0.404 0.596 0.000
Y2 Y 0.311 0.689 0.500
# Volume (Å³/f.u.): 259
# Space-group type: Cmmm, No. 65
# VASP energy (eV per cell): -50.61

***

Record 5
# Pa2Al3Pd | OQMD via LeMat-Bulk | GGA-PBE | relaxed
data_Pa2Al3Pd
_symmetry_space_group_name_H-M 'P 1'
_symmetry_Int_Tables_number 1
_cell_length_a 5.637
_cell_length_b 5.637
_cell_length_c 8.398
_cell_angle_alpha 90.00
_cell_angle_beta 90.00
_cell_angle_gamma 120.00
loop_
_symmetry_equiv_pos_as_xyz
'x,y,z'
loop_
_atom_site_label
_atom_site_type_symbol
_atom_site_fract_x
_atom_site_fract_y
_atom_site_fract_z
Pd1 Pd 0.000 0.000 0.500
Al1 Al 0.832 0.168 0.750
Pa1 Pa 0.333 0.667 0.588
Pa2 Pa 0.667 0.333 0.412
Pa3 Pa 0.667 0.333 0.088
Al2 Al 0.337 0.168 0.750
Al3 Al 0.168 0.832 0.250
Pa4 Pa 0.333 0.667 0.912
Al4 Al 0.168 0.337 0.250
Al5 Al 0.664 0.832 0.250
Pd2 Pd 0.000 0.000 0.000
Al6 Al 0.832 0.664 0.750
# Volume (Å³/f.u.): 116
# Space-group type: P6_3/mmc, No. 194
# VASP energy (eV per cell): -76.82

***

Record 6
# ErAgGeSeS2 | OQMD via LeMat-Bulk | GGA-PBE | relaxed
data_ErAgGeSeS2
_symmetry_space_group_name_H-M 'P 1'
_symmetry_Int_Tables_number 1
_cell_length_a 6.666
_cell_length_b 6.666
_cell_length_c 10.834
_cell_angle_alpha 90.00
_cell_angle_beta 90.00
_cell_angle_gamma 146.30
loop_
_symmetry_equiv_pos_as_xyz
'x,y,z'
loop_
_atom_site_label
_atom_site_type_symbol
_atom_site_fract_x
_atom_site_fract_y
_atom_site_fract_z
Se1 Se 0.886 0.114 0.750
Ag1 Ag 0.535 0.465 0.750
S1 S 0.640 0.360 0.560
Se2 Se 0.114 0.886 0.250
Er1 Er 0.000 0.000 0.000
S2 S 0.360 0.640 0.440
Ge1 Ge 0.767 0.233 0.250
S3 S 0.360 0.640 0.060
Ag2 Ag 0.465 0.535 0.250
Ge2 Ge 0.233 0.767 0.750
S4 S 0.640 0.360 0.940
Er2 Er 0.000 0.000 0.500
# Volume (Å³/f.u.): 134
# Space-group type: Cmcm, No. 63
# VASP energy (eV per cell): -56.89

***

Record 7
# AlFeCuOs | OQMD via LeMat-Bulk | GGA-PBE | relaxed
data_AlFeCuOs
_symmetry_space_group_name_H-M 'P 1'
_symmetry_Int_Tables_number 1
_cell_length_a 4.193
_cell_length_b 4.193
_cell_length_c 4.193
_cell_angle_alpha 60.00
_cell_angle_beta 60.00
_cell_angle_gamma 60.00
loop_
_symmetry_equiv_pos_as_xyz
'x,y,z'
loop_
_atom_site_label
_atom_site_type_symbol
_atom_site_fract_x
_atom_site_fract_y
_atom_site_fract_z
Os1 Os 0.250 0.250 0.250
Fe1 Fe 0.500 0.500 0.500
Cu1 Cu 0.750 0.750 0.750
Al1 Al 0.000 0.000 0.000
# Volume (Å³/f.u.): 52
# Space-group type: F-43m, No. 216
# VASP energy (eV per cell): -27.26
# Relative energy among the computed polymorphs (kJ/mol of formula units): 0

***

Record 8
# Y3Ni4Te | OQMD via LeMat-Bulk | GGA-PBE | relaxed
data_Y3Ni4Te
_symmetry_space_group_name_H-M 'P 1'
_symmetry_Int_Tables_number 1
_cell_length_a 5.357
_cell_length_b 4.047
_cell_length_c 6.990
_cell_angle_alpha 90.00
_cell_angle_beta 91.05
_cell_angle_gamma 90.00
loop_
_symmetry_equiv_pos_as_xyz
'x,y,z'
loop_
_atom_site_label
_atom_site_type_symbol
_atom_site_fract_x
_atom_site_fract_y
_atom_site_fract_z
Ni1 Ni 0.870 0.500 0.473
Ni2 Ni 0.625 0.500 0.956
Y1 Y 0.126 0.500 0.819
Y2 Y 0.875 0.000 0.181
Te1 Te 0.624 0.000 0.672
Ni3 Ni 0.131 0.000 0.540
Ni4 Ni 0.372 0.000 0.032
Y3 Y 0.376 0.500 0.327
# Volume (Å³/f.u.): 152
# Space-group type: Pm, No. 6
# VASP energy (eV per cell): -48.13